(1)
The following is a DFT calculation (PBE-GGA) of crystalline Mg5Ni3 at its relaxed geometry.

It has space group P-1 (No. 2), with a = 5.287 Å, b = 7.407 Å, c = 7.419 Å, α = 84.83°, β = 71.89° and γ = 71.68°. The asymmetric unit holds Mg at (0.064, 0.132, 0.207), Mg at (0.213, 0.713, 0.353), Mg at (0.250, 0.519, 0.983), Mg at (0.287, 0.148, 0.787), Mg at (0.434, 0.294, 0.367), Ni at (0.083, 0.511, 0.661), Ni at (0.251, 0.003, 0.496) and Ni at (0.416, 0.840, 0.989).

Its density of states at the Fermi level is 0.46 states/eV per atom. The formation energy comes out at -0.103 eV/atom. The energy above the most stable polymorph in this dataset is 0.0000 eV per atom. Its density is 3.8 g/cm3.

(2)
The following is a DFT calculation (PBE-GGA) of crystalline Mg4Ni at its relaxed geometry.

It has space group I4/mmm (No. 139), with a = 3.699 Å, b = 3.699 Å, c = 15.608 Å, α = 90.00°, β = 90.00° and γ = 90.00°. The asymmetric unit holds Mg at (0.000, 0.000, 0.087), Mg at (0.000, 0.500, 0.250) and Ni at (0.000, 0.000, 0.500).

Its density of states at the Fermi level is 0.59 states/eV per atom. The formation energy comes out at 0.406 eV/atom. Its density is 2.4 g/cm3.

(3)
The following is a DFT calculation (PBE-GGA) of crystalline Mg2Ni at its relaxed geometry.

It has space group Fm-3m (No. 225), with a = 6.134 Å, b = 6.134 Å, c = 6.134 Å, α = 90.00°, β = 90.00° and γ = 90.00°. The asymmetric unit holds Mg at (0.250, 0.250, 0.250) and Ni at (0.000, 0.000, 0.000).

Its density of states at the Fermi level is 0.65 states/eV per atom. The formation energy comes out at 0.045 eV/atom. Its density is 3.1 g/cm3.

(4)
The following is a DFT calculation (PBE-GGA) of crystalline MgNi3 at its relaxed geometry.

It has space group P-6m2 (No. 187), with a = 2.6496 Å, b = 2.6496 Å, c = 8.1397 Å, α = 90.00°, β = 90.00° and γ = 120.00°. The asymmetric unit holds Mg at (0.0000, 0.0000, 0.0000), Ni at (0.0000, 0.0000, 0.5000) and Ni at (0.6667, 0.3333, 0.2606).

Its density of states at the Fermi level is 1.44 states/eV per atom. The formation energy comes out at 0.114 eV/atom. Its density is 6.7 g/cm3.

(5)
The following is a DFT calculation (PBE-GGA) of crystalline Mg3Ni5 at its relaxed geometry.

It has space group P6_3/mcm (No. 193), with a = 7.3546 Å, b = 7.3546 Å, c = 4.6799 Å, α = 90.00°, β = 90.00° and γ = 120.00°. The asymmetric unit holds Mg at (0.0000, 0.3928, 0.2500), Ni at (0.0000, 0.1988, 0.7500) and Ni at (0.3333, 0.6667, 0.0000).

Its density of states at the Fermi level is 1.38 states/eV per atom. The formation energy comes out at 0.089 eV/atom. Its density is 5.6 g/cm3.

(6)
The following is a DFT calculation (PBE-GGA) of crystalline MgNi3 at its relaxed geometry.

It has space group C2/m (No. 12), with a = 8.518 Å, b = 2.641 Å, c = 4.434 Å, α = 90.00°, β = 101.32° and γ = 90.00°. The asymmetric unit holds Mg at (0.000, 0.000, 0.000), Ni at (0.000, 0.500, 0.500) and Ni at (0.243, 0.000, 0.731).

Its density of states at the Fermi level is 1.31 states/eV per atom. The formation energy comes out at -0.032 eV/atom. Its density is 6.8 g/cm3.

(7)
The following is a DFT calculation (PBE-GGA) of crystalline Mg2Ni at its relaxed geometry.

It has space group I4/mcm (No. 140), with a = 6.224 Å, b = 6.224 Å, c = 5.330 Å, α = 90.00°, β = 90.00° and γ = 90.00°. The asymmetric unit holds Mg at (0.176, 0.324, 0.000) and Ni at (0.000, 0.000, 0.250).

Its density of states at the Fermi level is 0.17 states/eV per atom. The formation energy comes out at -0.174 eV/atom. Its density is 3.5 g/cm3.

(8)
The following is a DFT calculation (PBE-GGA) of crystalline Mg2Ni at its relaxed geometry.

It has space group C2/m (No. 12), with a = 10.278 Å, b = 3.184 Å, c = 6.503 Å, α = 90.00°, β = 107.43° and γ = 90.00°. The asymmetric unit holds Mg at (0.000, 0.000, 0.000), Mg at (0.000, 0.000, 0.500), Mg at (0.199, 0.500, 0.300) and Ni at (0.164, 0.500, 0.866).

Its density of states at the Fermi level is 0.58 states/eV per atom. The formation energy comes out at -0.019 eV/atom. Its density is 3.5 g/cm3.

(9)
The following is a DFT calculation (PBE-GGA) of crystalline Mg6Ni at its relaxed geometry.

It has space group P-31m (No. 162), with a = 5.6259 Å, b = 5.6259 Å, c = 5.5390 Å, α = 90.00°, β = 90.00° and γ = 120.00°. The asymmetric unit holds Mg at (0.0000, 0.3546, 0.2391) and Ni at (0.0000, 0.0000, 0.5000).

Its density of states at the Fermi level is 0.31 states/eV per atom. The formation energy comes out at 0.055 eV/atom. Its density is 2.2 g/cm3.

(10)
The following is a DFT calculation (PBE-GGA) of crystalline Mg2Ni3 at its relaxed geometry.

It has space group R-3m (No. 166, hexagonal axes), with a = 2.7390 Å, b = 2.7390 Å, c = 31.1110 Å, α = 90.00°, β = 90.00° and γ = 120.00°. The asymmetric unit holds Mg at (0.0000, 0.0000, 0.0980), Ni at (0.0000, 0.0000, 0.3022) and Ni at (0.0000, 0.0000, 0.5000).

Its density of states at the Fermi level is 0.77 states/eV per atom. The formation energy comes out at 0.081 eV/atom. The energy above the most stable polymorph in this dataset is 0.0511 eV per atom. Its density is 5.5 g/cm3.

(11)
The following is a DFT calculation (PBE-GGA) of crystalline Mg4Ni3 at its relaxed geometry.

It has space group I4/mmm (No. 139), with a = 3.017 Å, b = 3.017 Å, c = 24.557 Å, α = 90.00°, β = 90.00° and γ = 90.00°. The asymmetric unit holds Mg at (0.000, 0.000, 0.063), Mg at (0.000, 0.000, 0.338), Ni at (0.000, 0.000, 0.224) and Ni at (0.000, 0.000, 0.500).

Its density of states at the Fermi level is 0.98 states/eV per atom. The formation energy comes out at -0.073 eV/atom. The energy above the most stable polymorph in this dataset is 0.0000 eV per atom. Its density is 4.1 g/cm3.

(12)
The following is a DFT calculation (PBE-GGA) of crystalline Mg5Ni4 at its relaxed geometry.

It has space group P6_3/mcm (No. 193), with a = 7.6754 Å, b = 7.6754 Å, c = 5.3679 Å, α = 90.00°, β = 90.00° and γ = 120.00°. The asymmetric unit holds Mg at (0.0000, 0.2854, 0.2500), Mg at (0.3333, 0.6667, 0.0000), Ni at (0.0000, 0.0000, 0.0000) and Ni at (0.0000, 0.3758, 0.7500).

Its density of states at the Fermi level is 0.72 states/eV per atom. The formation energy comes out at -0.047 eV/atom. The energy above the most stable polymorph in this dataset is 0.0000 eV per atom. Its density is 4.3 g/cm3.

(13)
The following is a DFT calculation (PBE-GGA) of crystalline Mg3Ni2 at its relaxed geometry.

It has space group Fdd2 (No. 43), with a = 11.798 Å, b = 19.380 Å, c = 2.832 Å, α = 90.00°, β = 90.00° and γ = 90.00°. The asymmetric unit holds Mg at (0.000, 0.000, 0.000), Mg at (0.080, 0.357, 0.742) and Ni at (0.068, 0.218, 0.788).

Its density of states at the Fermi level is 0.51 states/eV per atom. The formation energy comes out at -0.086 eV/atom. The energy above the most stable polymorph in this dataset is 0.0033 eV per atom. Its density is 3.9 g/cm3.

(14)
The following is a DFT calculation (PBE-GGA) of crystalline MgNi3 at its relaxed geometry.

It has space group Cmcm (No. 63), with a = 6.786 Å, b = 7.263 Å, c = 4.294 Å, α = 90.00°, β = 90.00° and γ = 90.00°. The asymmetric unit holds Mg at (0.000, 0.093, 0.250), Ni at (0.000, 0.427, 0.250) and Ni at (0.169, 0.259, 0.750).

Its density of states at the Fermi level is 1.45 states/eV per atom. The formation energy comes out at 0.192 eV/atom. Its density is 6.3 g/cm3.

(15)
The following is a DFT calculation (PBE-GGA) of crystalline Mg2Ni at its relaxed geometry.

It has space group P6_222 (No. 180), with a = 5.2011 Å, b = 5.2011 Å, c = 13.1451 Å, α = 90.00°, β = 90.00° and γ = 120.00°. The asymmetric unit holds Mg at (0.0000, 0.5000, 0.0510), Mg at (0.1648, 0.3295, 0.5000), Ni at (0.0000, 0.0000, 0.0000) and Ni at (0.0000, 0.5000, 0.6667).

Its density of states at the Fermi level is 0.50 states/eV per atom. The formation energy comes out at -0.177 eV/atom. Its density is 3.5 g/cm3.

(16)
The following is a DFT calculation (PBE-GGA) of crystalline MgNi3 at its relaxed geometry.

It has space group Pm-3n (No. 223), with a = 4.644 Å, b = 4.644 Å, c = 4.644 Å, α = 90.00°, β = 90.00° and γ = 90.00°. The asymmetric unit holds Mg at (0.000, 0.000, 0.000) and Ni at (0.000, 0.250, 0.500).

Its density of states at the Fermi level is 1.81 states/eV per atom. The formation energy comes out at 0.085 eV/atom. Its density is 6.6 g/cm3.

(17)
The following is a DFT calculation (PBE-GGA) of crystalline MgNi3 at its relaxed geometry.

It has space group P4/mmm (No. 123), with a = 2.717 Å, b = 2.717 Å, c = 6.721 Å, α = 90.00°, β = 90.00° and γ = 90.00°. The asymmetric unit holds Mg at (0.000, 0.000, 0.000), Ni at (0.000, 0.000, 0.500) and Ni at (0.500, 0.500, 0.276).

Its density of states at the Fermi level is 1.41 states/eV per atom. The formation energy comes out at -0.009 eV/atom. Its density is 6.7 g/cm3.

(18)
The following is a DFT calculation (PBE-GGA) of crystalline Mg3Ni4 at its relaxed geometry.

It has space group I4/mmm (No. 139), with a = 2.924 Å, b = 2.924 Å, c = 23.424 Å, α = 90.00°, β = 90.00° and γ = 90.00°. The asymmetric unit holds Mg at (0.000, 0.000, 0.000), Mg at (0.000, 0.000, 0.304), Ni at (0.000, 0.000, 0.126) and Ni at (0.000, 0.000, 0.429).

Its density of states at the Fermi level is 1.44 states/eV per atom. The formation energy comes out at -0.037 eV/atom. The energy above the most stable polymorph in this dataset is 0.0000 eV per atom. Its density is 5.1 g/cm3.

(19)
The following is a DFT calculation (PBE-GGA) of crystalline MgNi3 at its relaxed geometry.

It has space group Pmmn (No. 59, origin choice 2), with a = 4.177 Å, b = 5.194 Å, c = 4.525 Å, α = 90.00°, β = 90.00° and γ = 90.00°. The asymmetric unit holds Mg at (0.250, 0.250, 0.154), Ni at (0.250, 0.004, 0.657) and Ni at (0.250, 0.750, 0.199).

Its density of states at the Fermi level is 1.27 states/eV per atom. The formation energy comes out at -0.061 eV/atom. Its density is 6.8 g/cm3.

(20)
The following is a DFT calculation (PBE-GGA) of crystalline MgNi3 at its relaxed geometry.

It has space group Pmmm (No. 47), with a = 2.635 Å, b = 3.509 Å, c = 5.332 Å, α = 90.00°, β = 90.00° and γ = 90.00°. The asymmetric unit holds Mg at (0.000, 0.000, 0.000), Ni at (0.000, 0.000, 0.500) and Ni at (0.500, 0.500, 0.274).

Its density of states at the Fermi level is 1.39 states/eV per atom. The formation energy comes out at -0.027 eV/atom. Its density is 6.7 g/cm3.